PBE-GGA NaSrNdI6, optimized geometry; raw total energy = -60.25 eV per cell; formation energy (no corrections) = -1.451 eV/atom; density of states at the Fermi level = 0.000 states/eV per atom
1.0
7.6570 0.0000 0.0000
0.0000 7.6570 0.0000
0.0000 0.0000 14.3773
Sr Nd I Na
2 2 12 2
Cartesian
3.8285 3.8285 7.1726
0.0000 0.0000 14.3613
3.8285 3.8285 11.9819
0.0000 0.0000 4.7932
2.3437 2.3437 14.3132
2.2327 2.2327 4.7547
1.5958 6.0612 11.9433
5.4243 5.4243 4.7547
6.1722 1.4848 7.1245
5.3366 5.3366 9.6924
1.4848 6.1722 7.1245
6.1490 1.5081 2.5038
6.0612 1.5958 11.9433
2.3204 2.3204 9.6924
1.5081 6.1490 2.5038
5.3133 5.3133 14.3132
0.0000 0.0000 9.5889
3.8285 3.8285 2.4002